(1)
# PBE Tb2ThPt, optimized geometry
data_Tb2ThPt
_chemical_formula_sum 'Tb2 Th1 Pt1'
_cell_length_a 3.5682
_cell_length_b 3.5682
_cell_length_c 8.4030
_cell_angle_alpha 90.00
_cell_angle_beta 90.00
_cell_angle_gamma 90.00
_symmetry_space_group_name_H-M 'P 1'
_symmetry_Int_Tables_number 1
loop_
_symmetry_equiv_pos_as_xyz
'x,y,z'
loop_
_atom_site_label
_atom_site_type_symbol
_atom_site_fract_x
_atom_site_fract_y
_atom_site_fract_z
_atom_site_occupancy
Tb1 Tb 0.0000 0.0000 0.1983 1
Tb2 Tb 0.0000 0.0000 0.8017 1
Th1 Th 0.5000 0.5000 0.5000 1
Pt1 Pt 0.5000 0.5000 0.0000 1
# space-group type = P4/mmm, No. 123
# formation enthalpy at 0 K = -0.575 eV/atom
# E above lowest polymorph = 6.7 kJ per mole of atoms

=====

(2)
# PBE ZrBeTeI2, optimized geometry
data_ZrBeTeI2
_chemical_formula_sum 'Zr1 Be1 Te1 I2'
_cell_length_a 5.0593
_cell_length_b 5.0593
_cell_length_c 5.2590
_cell_angle_alpha 90.00
_cell_angle_beta 90.00
_cell_angle_gamma 90.00
_symmetry_space_group_name_H-M 'P 1'
_symmetry_Int_Tables_number 1
loop_
_symmetry_equiv_pos_as_xyz
'x,y,z'
loop_
_atom_site_label
_atom_site_type_symbol
_atom_site_fract_x
_atom_site_fract_y
_atom_site_fract_z
_atom_site_occupancy
Zr1 Zr 0.0000 0.0000 0.0000 1
Be1 Be 0.5000 0.5000 0.5000 1
Te1 Te 0.5000 0.5000 0.0000 1
I1 I 0.0000 0.5000 0.5000 1
I2 I 0.5000 0.0000 0.5000 1
# space-group type = P4/mmm, No. 123
# ΔE_f (raw) = 0.33 eV/atom
# E above lowest polymorph = 11.1 kJ per mole of atoms

=====

(3)
# PBE RbRhSe2, optimized geometry
data_RbRhSe2
_chemical_formula_sum 'Rb8 Rh8 Se16'
_cell_length_a 7.3707
_cell_length_b 7.3707
_cell_length_c 17.2927
_cell_angle_alpha 95.95
_cell_angle_beta 95.95
_cell_angle_gamma 90.00
_symmetry_space_group_name_H-M 'P 1'
_symmetry_Int_Tables_number 1
loop_
_symmetry_equiv_pos_as_xyz
'x,y,z'
loop_
_atom_site_label
_atom_site_type_symbol
_atom_site_fract_x
_atom_site_fract_y
_atom_site_fract_z
_atom_site_occupancy
Rb1 Rb 0.1597 0.7757 0.6030 1
Rb2 Rb 0.2212 0.3530 0.8922 1
Rb3 Rb 0.2243 0.8403 0.8970 1
Rb4 Rb 0.3530 0.2212 0.3922 1
Rb5 Rb 0.6470 0.7788 0.6078 1
Rb6 Rb 0.7757 0.1597 0.1030 1
Rb7 Rb 0.7788 0.6470 0.1078 1
Rb8 Rb 0.8403 0.2243 0.3970 1
Rh1 Rh 0.0436 0.7097 0.3361 1
Rh2 Rh 0.2903 0.9564 0.1639 1
Rh3 Rh 0.2905 0.3762 0.1647 1
Rh4 Rh 0.3762 0.2905 0.6647 1
Rh5 Rh 0.6238 0.7095 0.3353 1
Rh6 Rh 0.7095 0.6238 0.8353 1
Rh7 Rh 0.7097 0.0436 0.8361 1
Rh8 Rh 0.9564 0.2903 0.6639 1
Se1 Se 0.0651 0.9349 0.2500 1
Se2 Se 0.0664 0.4404 0.2515 1
Se3 Se 0.1413 0.2633 0.5555 1
Se4 Se 0.2633 0.1413 0.0555 1
Se5 Se 0.2730 0.6485 0.0935 1
Se6 Se 0.3515 0.7270 0.4065 1
Se7 Se 0.4404 0.0664 0.7515 1
Se8 Se 0.4411 0.5589 0.7500 1
Se9 Se 0.5589 0.4411 0.2500 1
Se10 Se 0.5596 0.9336 0.2485 1
Se11 Se 0.6485 0.2730 0.5935 1
Se12 Se 0.7270 0.3515 0.9065 1
Se13 Se 0.7367 0.8587 0.9445 1
Se14 Se 0.8587 0.7367 0.4445 1
Se15 Se 0.9336 0.5596 0.7485 1
Se16 Se 0.9349 0.0651 0.7500 1
# space-group type = C2/c, No. 15
# ΔE_f (raw) = -0.56 eV/atom

=====

(4)
# PBE K2NaPd, optimized geometry
data_K2NaPd
_chemical_formula_sum 'K2 Na1 Pd1'
_cell_length_a 13.1279
_cell_length_b 13.1279
_cell_length_c 13.1279
_cell_angle_alpha 16.04
_cell_angle_beta 16.04
_cell_angle_gamma 16.04
_symmetry_space_group_name_H-M 'P 1'
_symmetry_Int_Tables_number 1
loop_
_symmetry_equiv_pos_as_xyz
'x,y,z'
loop_
_atom_site_label
_atom_site_type_symbol
_atom_site_fract_x
_atom_site_fract_y
_atom_site_fract_z
_atom_site_occupancy
K1 K 0.0733 0.0733 0.0733 1
K2 K 0.9267 0.9267 0.9267 1
Na1 Na 0.5000 0.5000 0.5000 1
Pd1 Pd 0.0000 0.0000 0.0000 1
# space-group type = R-3m, No. 166
# formation enthalpy at 0 K = 0.422 eV/atom

=====

(5)
# PBE AlCuN, optimized geometry
data_AlCuN
_chemical_formula_sum 'Al2 Cu2 N2'
_cell_length_a 5.7458
_cell_length_b 5.7458
_cell_length_c 5.7458
_cell_angle_alpha 149.16
_cell_angle_beta 62.56
_cell_angle_gamma 127.03
_symmetry_space_group_name_H-M 'P 1'
_symmetry_Int_Tables_number 1
loop_
_symmetry_equiv_pos_as_xyz
'x,y,z'
loop_
_atom_site_label
_atom_site_type_symbol
_atom_site_fract_x
_atom_site_fract_y
_atom_site_fract_z
_atom_site_occupancy
Al1 Al 0.1938 0.0000 0.1938 1
Al2 Al 0.8062 0.0000 0.8062 1
Cu1 Cu 0.2391 0.7391 0.5000 1
Cu2 Cu 0.7296 0.2296 0.5000 1
N1 N 0.5978 0.2934 0.3044 1
N2 N 0.9890 0.2934 0.6956 1
# space-group type = Imm2, No. 44
# ΔE_f (raw) = -0.39 eV/atom
# E above lowest polymorph = 2.8 kJ per mole of atoms

=====

(6)
# PBE CaCrCo3, optimized geometry
data_CaCrCo3
_chemical_formula_sum 'Ca1 Cr1 Co3'
_cell_length_a 4.3723
_cell_length_b 4.3723
_cell_length_c 4.3723
_cell_angle_alpha 90.00
_cell_angle_beta 90.00
_cell_angle_gamma 90.00
_symmetry_space_group_name_H-M 'P 1'
_symmetry_Int_Tables_number 1
loop_
_symmetry_equiv_pos_as_xyz
'x,y,z'
loop_
_atom_site_label
_atom_site_type_symbol
_atom_site_fract_x
_atom_site_fract_y
_atom_site_fract_z
_atom_site_occupancy
Ca1 Ca 0.0000 0.0000 0.0000 1
Cr1 Cr 0.5000 0.5000 0.5000 1
Co1 Co 0.0000 0.0000 0.5000 1
Co2 Co 0.0000 0.5000 0.0000 1
Co3 Co 0.5000 0.0000 0.0000 1
# space-group type = Pm-3m, No. 221
# formation enthalpy at 0 K = 2.271 eV/atom
# E above lowest polymorph = 155.9 kJ per mole of atoms

=====

(7)
# PBE PrHoCdRu, optimized geometry
data_PrHoCdRu
_chemical_formula_sum 'Pr1 Ho1 Cd1 Ru1'
_cell_length_a 5.1265
_cell_length_b 5.1265
_cell_length_c 5.1265
_cell_angle_alpha 60.00
_cell_angle_beta 60.00
_cell_angle_gamma 60.00
_symmetry_space_group_name_H-M 'P 1'
_symmetry_Int_Tables_number 1
loop_
_symmetry_equiv_pos_as_xyz
'x,y,z'
loop_
_atom_site_label
_atom_site_type_symbol
_atom_site_fract_x
_atom_site_fract_y
_atom_site_fract_z
_atom_site_occupancy
Pr1 Pr 0.0000 0.0000 0.0000 1
Ho1 Ho 0.5000 0.5000 0.5000 1
Cd1 Cd 0.7500 0.7500 0.7500 1
Ru1 Ru 0.2500 0.2500 0.2500 1
# space-group type = F-43m, No. 216
# formation enthalpy at 0 K = -0.203 eV/atom
# E above lowest polymorph = 10.1 kJ per mole of atoms

=====

(8)
# PBE GdZr3F15, optimized geometry
data_GdZr3F15
_chemical_formula_sum 'Gd2 Zr6 F30'
_cell_length_a 8.2640
_cell_length_b 8.2640
_cell_length_c 8.2504
_cell_angle_alpha 100.42
_cell_angle_beta 100.42
_cell_angle_gamma 99.83
_symmetry_space_group_name_H-M 'P 1'
_symmetry_Int_Tables_number 1
loop_
_symmetry_equiv_pos_as_xyz
'x,y,z'
loop_
_atom_site_label
_atom_site_type_symbol
_atom_site_fract_x
_atom_site_fract_y
_atom_site_fract_z
_atom_site_occupancy
Gd1 Gd 0.1775 0.8225 0.7500 1
Gd2 Gd 0.8225 0.1775 0.2500 1
Zr1 Zr 0.2462 0.7538 0.2500 1
Zr2 Zr 0.2566 0.3220 0.6734 1
Zr3 Zr 0.3220 0.2566 0.1734 1
Zr4 Zr 0.6780 0.7434 0.8266 1
Zr5 Zr 0.7434 0.6780 0.3266 1
Zr6 Zr 0.7538 0.2462 0.7500 1
F1 F 0.0078 0.2755 0.7779 1
F2 F 0.0493 0.2519 0.4724 1
F3 F 0.0665 0.1908 0.1496 1
F4 F 0.1592 0.5359 0.6817 1
F5 F 0.1908 0.0665 0.6496 1
F6 F 0.2246 0.4958 0.2195 1
F7 F 0.2264 0.7195 0.9979 1
F8 F 0.2519 0.0493 0.9724 1
F9 F 0.2755 0.0078 0.2779 1
F10 F 0.2805 0.7736 0.5021 1
F11 F 0.3180 0.3499 0.9440 1
F12 F 0.3499 0.3180 0.4440 1
F13 F 0.4641 0.8408 0.8183 1
F14 F 0.4686 0.5314 0.7500 1
F15 F 0.4958 0.2246 0.7195 1
F16 F 0.5042 0.7754 0.2805 1
F17 F 0.5314 0.4686 0.2500 1
F18 F 0.5359 0.1592 0.1817 1
F19 F 0.6501 0.6820 0.5560 1
F20 F 0.6820 0.6501 0.0560 1
F21 F 0.7195 0.2264 0.4979 1
F22 F 0.7245 0.9922 0.7221 1
F23 F 0.7481 0.9507 0.0276 1
F24 F 0.7736 0.2805 0.0021 1
F25 F 0.7754 0.5042 0.7805 1
F26 F 0.8092 0.9335 0.3504 1
F27 F 0.8408 0.4641 0.3183 1
F28 F 0.9335 0.8092 0.8504 1
F29 F 0.9507 0.7481 0.5276 1
F30 F 0.9922 0.7245 0.2221 1
# space-group type = C2/c, No. 15
# ΔE_f (raw) = -3.77 eV/atom

=====

(9)
# PBE AgAsW2, optimized geometry
data_AgAsW2
_chemical_formula_sum 'Ag1 As1 W2'
_cell_length_a 3.2352
_cell_length_b 3.2352
_cell_length_c 6.6255
_cell_angle_alpha 90.00
_cell_angle_beta 90.00
_cell_angle_gamma 90.00
_symmetry_space_group_name_H-M 'P 1'
_symmetry_Int_Tables_number 1
loop_
_symmetry_equiv_pos_as_xyz
'x,y,z'
loop_
_atom_site_label
_atom_site_type_symbol
_atom_site_fract_x
_atom_site_fract_y
_atom_site_fract_z
_atom_site_occupancy
Ag1 Ag 0.0000 0.0000 0.0000 1
As1 As 0.5000 0.5000 0.2776 1
W1 W 0.0000 0.0000 0.5104 1
W2 W 0.5000 0.5000 0.7173 1
# space-group type = P4mm, No. 99
# formation enthalpy at 0 K = 0.450 eV/atom

=====

(10)
# PBE Pm3Cu3Rh2, optimized geometry
data_Pm3Cu3Rh2
_chemical_formula_sum 'Pm12 Cu12 Rh8'
_cell_length_a 7.4563
_cell_length_b 16.1586
_cell_length_c 5.4244
_cell_angle_alpha 90.00
_cell_angle_beta 90.00
_cell_angle_gamma 90.00
_symmetry_space_group_name_H-M 'P 1'
_symmetry_Int_Tables_number 1
loop_
_symmetry_equiv_pos_as_xyz
'x,y,z'
loop_
_atom_site_label
_atom_site_type_symbol
_atom_site_fract_x
_atom_site_fract_y
_atom_site_fract_z
_atom_site_occupancy
Pm1 Pm 0.0346 0.1045 0.1186 1
Pm2 Pm 0.0346 0.3955 0.1186 1
Pm3 Pm 0.1696 0.2500 0.6331 1
Pm4 Pm 0.3304 0.7500 0.1331 1
Pm5 Pm 0.4654 0.6045 0.6186 1
Pm6 Pm 0.4654 0.8955 0.6186 1
Pm7 Pm 0.5346 0.1045 0.3814 1
Pm8 Pm 0.5346 0.3955 0.3814 1
Pm9 Pm 0.6696 0.2500 0.8669 1
Pm10 Pm 0.8304 0.7500 0.3669 1
Pm11 Pm 0.9654 0.6045 0.8814 1
Pm12 Pm 0.9654 0.8955 0.8814 1
Cu1 Cu 0.1716 0.0280 0.5904 1
Cu2 Cu 0.1716 0.4720 0.5904 1
Cu3 Cu 0.1781 0.7500 0.6319 1
Cu4 Cu 0.3219 0.2500 0.1319 1
Cu5 Cu 0.3284 0.5280 0.0904 1
Cu6 Cu 0.3284 0.9720 0.0904 1
Cu7 Cu 0.6716 0.0280 0.9096 1
Cu8 Cu 0.6716 0.4720 0.9096 1
Cu9 Cu 0.6781 0.7500 0.8681 1
Cu10 Cu 0.8219 0.2500 0.3681 1
Cu11 Cu 0.8284 0.5280 0.4096 1
Cu12 Cu 0.8284 0.9720 0.4096 1
Rh1 Rh 0.1192 0.6150 0.3651 1
Rh2 Rh 0.1192 0.8850 0.3651 1
Rh3 Rh 0.3808 0.1150 0.8651 1
Rh4 Rh 0.3808 0.3850 0.8651 1
Rh5 Rh 0.6192 0.6150 0.1349 1
Rh6 Rh 0.6192 0.8850 0.1349 1
Rh7 Rh 0.8808 0.1150 0.6349 1
Rh8 Rh 0.8808 0.3850 0.6349 1
# space-group type = Pnma, No. 62
# formation enthalpy at 0 K = -0.414 eV/atom
# E above lowest polymorph = 0.6 kJ per mole of atoms

=====

(11)
# PBE TiMn2FeC, optimized geometry
data_TiMn2FeC
_chemical_formula_sum 'Ti1 Mn2 Fe1 C1'
_cell_length_a 3.8016
_cell_length_b 3.8016
_cell_length_c 3.7701
_cell_angle_alpha 90.00
_cell_angle_beta 90.00
_cell_angle_gamma 90.00
_symmetry_space_group_name_H-M 'P 1'
_symmetry_Int_Tables_number 1
loop_
_symmetry_equiv_pos_as_xyz
'x,y,z'
loop_
_atom_site_label
_atom_site_type_symbol
_atom_site_fract_x
_atom_site_fract_y
_atom_site_fract_z
_atom_site_occupancy
Ti1 Ti 0.0000 0.0000 0.0000 1
Mn1 Mn 0.0000 0.5000 0.5000 1
Mn2 Mn 0.5000 0.0000 0.5000 1
Fe1 Fe 0.5000 0.5000 0.0000 1
C1 C 0.5000 0.5000 0.5000 1
# space-group type = P4/mmm, No. 123
# formation enthalpy at 0 K = -0.198 eV/atom
# E above lowest polymorph = 0.0 kJ per mole of atoms

=====

(12)
# PBE Hf6AlBi2, optimized geometry
data_Hf6AlBi2
_chemical_formula_sum 'Hf12 Al2 Bi4'
_cell_length_a 5.6413
_cell_length_b 7.7794
_cell_length_c 10.9513
_cell_angle_alpha 90.00
_cell_angle_beta 120.55
_cell_angle_gamma 90.00
_symmetry_space_group_name_H-M 'P 1'
_symmetry_Int_Tables_number 1
loop_
_symmetry_equiv_pos_as_xyz
'x,y,z'
loop_
_atom_site_label
_atom_site_type_symbol
_atom_site_fract_x
_atom_site_fract_y
_atom_site_fract_z
_atom_site_occupancy
Hf1 Hf 0.0838 0.0395 0.2131 1
Hf2 Hf 0.0838 0.4605 0.7131 1
Hf3 Hf 0.1477 0.7065 0.0475 1
Hf4 Hf 0.1477 0.7935 0.5475 1
Hf5 Hf 0.4071 0.1625 0.0325 1
Hf6 Hf 0.4071 0.3375 0.5325 1
Hf7 Hf 0.5929 0.6625 0.4675 1
Hf8 Hf 0.5929 0.8375 0.9675 1
Hf9 Hf 0.8523 0.2065 0.4525 1
Hf10 Hf 0.8523 0.2935 0.9525 1
Hf11 Hf 0.9162 0.5395 0.2869 1
Hf12 Hf 0.9162 0.9605 0.7869 1
Al1 Al 0.5000 0.0000 0.5000 1
Al2 Al 0.5000 0.5000 0.0000 1
Bi1 Bi 0.3548 0.1039 0.7376 1
Bi2 Bi 0.3548 0.3961 0.2376 1
Bi3 Bi 0.6452 0.6039 0.7624 1
Bi4 Bi 0.6452 0.8961 0.2624 1
# space-group type = P2_1/c, No. 14
# formation enthalpy at 0 K = -0.017 eV/atom